Below is a relaxed structure of ScBe2Cu, with properties calculated at the GGA-PBE level.

Summary:
magnetization	0.00	μB per formula unit
energy relative to the elements	0.172	eV per atom

Unit cell a=3.761 b=3.761 c=3.812 alpha=90.00 beta=90.00 gamma=90.00
Element x y z (fractional)
Sc  0.000  0.500  0.500
Be  0.000  0.000  0.000
Be  0.500  0.500  0.000
Cu  0.500  0.000  0.500